Density functional theory data (PBE-GGA) for AlCu2Os after structural relaxation.

Cell: 8.6620 8.6620 8.6620 Å, 17.88 17.88 17.88°
Closest atoms and distances in Å follow each position.
Atoms (fractional coordinates):
Al: 0.0000 0.0000 0.0000  6 Cu 2.58, 6 Al 2.69
Cu: 0.2527 0.2527 0.2527  3 Al 2.58, 6 Cu 2.69, 3 Os 2.69
Cu: 0.7473 0.7473 0.7473  3 Al 2.58, 6 Cu 2.69, 3 Os 2.69
Os: 0.5000 0.5000 0.5000  6 Os 2.69, 6 Cu 2.69

Results
The calculation puts the volume at 13.4 Å³ per atom. The total moment comes out at 0.071 μB per atom. The crystal system is trigonal. The space-group type is R-3m, No. 166. The calculation puts the formation energy at 130 meV/atom.